# BaLiNbNi

A relaxed BaLiNbNi crystal (PBE, the Open Quantum Materials Database).

Unit cell a=4.9005 b=4.9005 c=4.9005 alpha=60.00 beta=60.00 gamma=60.00
Closest atoms and distances in Å follow each position.
Fractional coordinates of all 4 atoms:
Ba: 0.2500 0.2500 0.2500  4 Nb 3.00, 4 Ni 3.00
Li: 0.7500 0.7500 0.7500  4 Ni 3.00, 4 Nb 3.00
Nb: 0.0000 0.0000 0.0000  4 Ba 3.00, 4 Li 3.00
Ni: 0.5000 0.5000 0.5000  4 Li 3.00, 4 Ba 3.00

Values from the calculation:
Energy above the lowest structure with this stoichiometry = 271.6 meV per atom
Calculated volume = 83.2 Å³ per cell